1.
Here is a relaxed structure of Rb2NaZrH6 from the Open Quantum Materials Database. Energies are from PBE.

Unit cell a=6.1290 b=6.1290 c=6.1290 alpha=60.00 beta=60.00 gamma=60.00
Each line ends with the local moment (μB).
Atoms (fractional coordinates):
1 H 0.7350 0.7350 0.2650  -0.01
2 H 0.2650 0.7350 0.7350  0.00
3 H 0.7350 0.2650 0.7350  -0.01
4 H 0.2650 0.7350 0.2650  -0.01
5 Na 0.0000 0.0000 0.0000  0.00
6 H 0.7350 0.2650 0.2650  0.00
7 H 0.2650 0.2650 0.7350  -0.01
8 Rb 0.2500 0.2500 0.2500  0.01
9 Zr 0.5000 0.5000 0.5000  0.59
10 Rb 0.7500 0.7500 0.7500  0.01

Summary:
Space-group type: No. 225
Total moment: 1.000 μB/f.u.
Volume: 16.280 Å³ per atom

2.
Here is a relaxed structure of NaSr2TcH6 from the Open Quantum Materials Database. Energies are from PBE.

Unit cell a=5.5116 b=5.5116 c=5.5116 alpha=60.00 beta=60.00 gamma=60.00
Atoms (fractional coordinates):
1 H 0.2293 0.2293 0.7707
2 H 0.7707 0.2293 0.2293
3 Tc 0.0000 0.0000 0.0000
4 H 0.2293 0.7707 0.2293
5 Sr 0.2500 0.2500 0.2500
6 H 0.7707 0.2293 0.7707
7 Na 0.5000 0.5000 0.5000
8 H 0.2293 0.7707 0.7707
9 H 0.7707 0.7707 0.2293
10 Sr 0.7500 0.7500 0.7500

Summary:
Space-group type: No. 225
Total moment: 0.000 μB/f.u.
Volume: 11.839 Å³ per atom

3.
Here is a relaxed structure of Na2SrZnH6 from the Open Quantum Materials Database. Energies are from PBE.

Unit cell a=5.8059 b=5.8059 c=5.8059 alpha=60.00 beta=60.00 gamma=60.00
Atoms (fractional coordinates):
1 Sr 0.0000 0.0000 0.0000
2 Na 0.2500 0.2500 0.2500
3 H 0.2776 0.2776 0.7224
4 H 0.7224 0.7224 0.2776
5 H 0.7224 0.2776 0.7224
6 H 0.7224 0.2776 0.2776
7 H 0.2776 0.7224 0.7224
8 Na 0.7500 0.7500 0.7500
9 H 0.2776 0.7224 0.2776
10 Zn 0.5000 0.5000 0.5000

Summary:
Space-group type: No. 225
Volume: 13.838 Å³ per atom

4.
Here is a relaxed structure of NaSr2ZnH6 from the Open Quantum Materials Database. Energies are from PBE.

Unit cell a=5.6130 b=5.6130 c=5.6130 alpha=60.00 beta=60.00 gamma=60.00
Atoms (fractional coordinates):
1 H 0.2311 0.2311 0.7689
2 H 0.2311 0.7689 0.2311
3 H 0.2311 0.7689 0.7689
4 Sr 0.7500 0.7500 0.7500
5 H 0.7689 0.2311 0.7689
6 H 0.7689 0.2311 0.2311
7 Sr 0.2500 0.2500 0.2500
8 H 0.7689 0.7689 0.2311
9 Zn 0.0000 0.0000 0.0000
10 Na 0.5000 0.5000 0.5000

Summary:
Space-group type: No. 225
Volume: 12.505 Å³ per atom

5.
Here is a relaxed structure of NaSr2ZrH6 from the Open Quantum Materials Database. Energies are from PBE.

Unit cell a=5.8205 b=5.8205 c=5.8205 alpha=60.00 beta=60.00 gamma=60.00
Each line ends with the local moment (μB).
Atoms (fractional coordinates):
1 Sr 0.2500 0.2500 0.2500  0.12
2 H 0.7536 0.2464 0.2464  -0.01
3 H 0.2464 0.7536 0.7536  -0.01
4 H 0.7536 0.7536 0.2464  -0.01
5 H 0.2464 0.7536 0.2464  -0.01
6 Na 0.5000 0.5000 0.5000  -0.01
7 Sr 0.7500 0.7500 0.7500  0.12
8 Zr 0.0000 0.0000 0.0000  1.19
9 H 0.7536 0.2464 0.7536  -0.01
10 H 0.2464 0.2464 0.7536  -0.01

Summary:
Space-group type: No. 225
Total moment: 2.738 μB/f.u.
Volume: 13.943 Å³ per atom

6.
Here is a relaxed structure of NaTmH3 from the Open Quantum Materials Database. Energies are from PBE.

Unit cell a=5.7449 b=7.8550 c=5.6944 alpha=90.00 beta=90.00 gamma=90.00
Atoms (fractional coordinates):
1 Tm 0.0000 0.5000 0.0000
2 H 0.6998 0.4509 0.8018
3 H 0.4213 0.7500 0.6091
4 H 0.9213 0.7500 0.8909
5 H 0.5787 0.2500 0.3909
6 H 0.1998 0.4509 0.6982
7 Na 0.9778 0.2500 0.5020
8 Tm 0.0000 0.0000 0.0000
9 H 0.6998 0.0491 0.8018
10 H 0.3002 0.5491 0.1982
11 Tm 0.5000 0.5000 0.5000
12 H 0.8002 0.5491 0.3018
13 H 0.8002 0.9509 0.3018
14 Na 0.0222 0.7500 0.4980
15 Na 0.4778 0.2500 0.9980
16 Tm 0.5000 0.0000 0.5000
17 H 0.3002 0.9509 0.1982
18 H 0.0787 0.2500 0.1091
19 Na 0.5222 0.7500 0.0020
20 H 0.1998 0.0491 0.6982

Summary:
Space-group type: No. 62
Total moment: 0.004 μB/f.u.
Volume: 12.848 Å³ per atom

The records above give, respectively, electronic total energy values of -3.32, -3.95, -2.59, -2.80, -3.64, -3.44 eV per atom.